CrCu2H2 | PBE | relaxed

Cell and atoms, written as CIF:
```
data_CrCu2H2
_space_group_name_H-M_alt 'P 1'
_space_group_IT_number 1
_cell_length_a 2.606
_cell_length_b 2.606
_cell_length_c 6.501
_cell_angle_alpha 78.44
_cell_angle_beta 78.44
_cell_angle_gamma 90.00
loop_
_space_group_symop_operation_xyz
'x,y,z'
loop_
_atom_site_label
_atom_site_type_symbol
_atom_site_fract_x
_atom_site_fract_y
_atom_site_fract_z
Cr1 Cr 0.000 0.000 0.000
Cu1 Cu 0.348 0.348 0.305
Cu2 Cu 0.652 0.652 0.695
H1 H 0.750 0.250 0.500
H2 H 0.250 0.750 0.500
```

Properties
SG = I4/mmm (139)
polymorph energy (0 for the lowest one) = 236 meV per atom
total moment = 0.36 μB per formula unit
total energy = -4.462 eV per atom
D(E_F) = 3.2 states/eV per cell